VASP calculation (PBE) on an optimized crystal structure of Y5Fe3.

crystal system	hexagonal
calculated total energy	-7.07	eV per atom
energy above the most stable polymorph in this dataset	0	meV/atom

Unit cell a=8.199 b=8.199 c=6.348 alpha=90.00 beta=90.00 gamma=120.00
Each line ends with the local moment (μB).
Positions (direct):
Y: 0.333 0.667 0.000  -0.30
Y: 0.667 0.333 0.500  -0.30
Y: 0.667 0.333 0.000  -0.30
Y: 0.333 0.667 0.500  -0.30
Y: 0.258 0.000 0.250  -0.26
Y: 0.742 0.000 0.750  -0.26
Y: 0.000 0.258 0.250  -0.26
Y: 0.742 0.742 0.250  -0.26
Y: 0.258 0.258 0.750  -0.26
Y: 0.000 0.742 0.750  -0.26
Fe: 0.607 0.000 0.250  1.66
Fe: 0.393 0.000 0.750  1.66
Fe: 0.000 0.607 0.250  1.66
Fe: 0.393 0.393 0.250  1.66
Fe: 0.607 0.607 0.750  1.66
Fe: 0.000 0.393 0.750  1.66